No. 1
## CsLiDyTe3 (PBE)

Data for a geometry-optimized CsLiDyTe3 structure.

Theoretical density = 5.220 g/cm3
Uncorrected energy = -3.891 eV per atom
Space-group type = Cmcm (63)
M_tot = 0.006 μB per atom

Cell lengths 8.7608, 8.7608, 11.6752 Å; angles 90.00, 90.00, 150.89 degrees
Atoms (fractional coordinates):
Cs (0.2569, 0.7431, 0.2500)
Cs (0.7431, 0.2569, 0.7500)
Dy (0.0000, 0.0000, 0.0000)
Dy (0.0000, 0.0000, 0.5000)
Li (0.5398, 0.4602, 0.2500)
Li (0.4602, 0.5398, 0.7500)
Te (0.6226, 0.3774, 0.0483)
Te (0.9425, 0.0575, 0.2500)
Te (0.6226, 0.3774, 0.4517)
Te (0.3774, 0.6226, 0.5483)
Te (0.0575, 0.9425, 0.7500)
Te (0.3774, 0.6226, 0.9517)

---

No. 2
## Cs2DyLuS4 (PBE)

Data for a geometry-optimized Cs2DyLuS4 structure.

Theoretical density = 5.320 g/cm3
Uncorrected energy = -5.242 eV per atom
Space-group type = P-3m1 (164)
M_tot = 0.000 μB per atom

Cell lengths 4.0544, 4.0544, 16.0379 Å; angles 90.00, 90.00, 120.00 degrees
Atoms (fractional coordinates):
Cs (0.3333, 0.6667, 0.2516)
Cs (0.6667, 0.3333, 0.7484)
Dy (0.0000, 0.0000, 0.0000)
Lu (0.0000, 0.0000, 0.5000)
S (0.6667, 0.3333, 0.0922)
S (0.6667, 0.3333, 0.4114)
S (0.3333, 0.6667, 0.5886)
S (0.3333, 0.6667, 0.9078)

---

No. 3
## CsDyLuTe3 (PBE)

Data for a geometry-optimized CsDyLuTe3 structure.

Theoretical density = 5.882 g/cm3
Uncorrected energy = -4.415 eV per atom
Space-group type = Cmcm (63)
M_tot = 0.061 μB per atom

Cell lengths 9.1030, 9.1030, 11.7279 Å; angles 90.00, 90.00, 150.29 degrees
Each line ends with the local moment (μB).
Atoms (fractional coordinates):
Cs (0.2543, 0.7457, 0.2500)  0.00
Cs (0.7457, 0.2543, 0.7500)  0.00
Dy (0.5334, 0.4666, 0.2500)  0.10
Dy (0.4666, 0.5334, 0.7500)  0.10
Lu (0.0000, 0.0000, 0.0000)  0.09
Lu (0.0000, 0.0000, 0.5000)  0.09
Te (0.6175, 0.3825, 0.0358)  -0.01
Te (0.9329, 0.0671, 0.2500)  -0.01
Te (0.6175, 0.3825, 0.4642)  -0.01
Te (0.3825, 0.6175, 0.5358)  -0.01
Te (0.0671, 0.9329, 0.7500)  -0.01
Te (0.3825, 0.6175, 0.9642)  -0.01

---

No. 4
## CsDyLuTe3 (PBE)

Data for a geometry-optimized CsDyLuTe3 structure.

Theoretical density = 5.899 g/cm3
Uncorrected energy = -4.454 eV per atom
Space-group type = Cmcm (63)
M_tot = 0.004 μB per atom

Cell lengths 9.0531, 9.0531, 11.8535 Å; angles 90.00, 90.00, 150.37 degrees
Atoms (fractional coordinates):
Cs (0.2555, 0.7445, 0.2500)
Cs (0.7445, 0.2555, 0.7500)
Dy (0.0000, 0.0000, 0.0000)
Dy (0.0000, 0.0000, 0.5000)
Lu (0.5358, 0.4642, 0.2500)
Lu (0.4642, 0.5358, 0.7500)
Te (0.6213, 0.3787, 0.0446)
Te (0.9362, 0.0638, 0.2500)
Te (0.6213, 0.3787, 0.4554)
Te (0.3787, 0.6213, 0.5446)
Te (0.0638, 0.9362, 0.7500)
Te (0.3787, 0.6213, 0.9554)

---

No. 5
## CsDyMo (PBE)

Data for a geometry-optimized CsDyMo structure.

Theoretical density = 6.462 g/cm3
Uncorrected energy = -3.687 eV per atom
Space-group type = F-43m (216)
M_tot = 0.693 μB per atom

Cell lengths 5.2197, 5.2197, 5.2197 Å; angles 60.00, 60.00, 60.00 degrees
Atoms (fractional coordinates):
Cs (0.2500, 0.2500, 0.2500)
Dy (0.7500, 0.7500, 0.7500)
Mo (0.0000, 0.0000, 0.0000)

---

No. 6
## CsDyNO (PBE)

Data for a geometry-optimized CsDyNO structure.

Theoretical density = 5.473 g/cm3
Uncorrected energy = -5.904 eV per atom
Space-group type = Pmc2_1 (26)
M_tot = 0.250 μB per atom

Cell lengths 3.7511, 6.7106, 7.8451 Å; angles 90.00, 90.00, 90.00 degrees
Each line ends with the local moment (μB).
Atoms (fractional coordinates):
Cs (0.5000, 0.9972, 0.1578)  0.02
Cs (0.5000, 0.4972, 0.8422)  0.02
Dy (0.0000, 0.4939, 0.3523)  0.01
Dy (0.0000, 0.9939, 0.6477)  0.01
N (0.0000, 0.8233, 0.4031)  0.59
N (0.0000, 0.3233, 0.5969)  0.59
O (0.5000, 0.4396, 0.2230)  0.05
O (0.5000, 0.9396, 0.7770)  0.05

---

No. 7
## Cs2NdDyO4 (PBE)

Data for a geometry-optimized Cs2NdDyO4 structure.

Theoretical density = 6.954 g/cm3
Uncorrected energy = -6.416 eV per atom
Space-group type = P-3m1 (164)
M_tot = 0.000 μB per atom

Cell lengths 3.5882, 3.5882, 13.6311 Å; angles 90.00, 90.00, 120.00 degrees
Atoms (fractional coordinates):
Cs (0.6667, 0.3333, 0.2479)
Cs (0.3333, 0.6667, 0.7521)
Dy (0.0000, 0.0000, 0.0000)
Nd (0.0000, 0.0000, 0.5000)
O (0.3333, 0.6667, 0.0811)
O (0.3333, 0.6667, 0.4106)
O (0.6667, 0.3333, 0.5894)
O (0.6667, 0.3333, 0.9189)

---

No. 8
## Cs2NdDyS4 (PBE)

Data for a geometry-optimized Cs2NdDyS4 structure.

Theoretical density = 4.796 g/cm3
Uncorrected energy = -5.266 eV per atom
Space-group type = P-3m1 (164)
M_tot = 0.000 μB per atom

Cell lengths 4.1679, 4.1679, 16.1278 Å; angles 90.00, 90.00, 120.00 degrees
Atoms (fractional coordinates):
Cs (0.3333, 0.6667, 0.2473)
Cs (0.6667, 0.3333, 0.7527)
Dy (0.0000, 0.0000, 0.0000)
Nd (0.0000, 0.0000, 0.5000)
S (0.6667, 0.3333, 0.0893)
S (0.6667, 0.3333, 0.4039)
S (0.3333, 0.6667, 0.5961)
S (0.3333, 0.6667, 0.9107)